# 1
Entry from Alexandria via LeMat-Bulk: an optimized crystal structure of BaMnW3 (PBE).

Cell and atoms, written as CIF:
```
data_BaMnW3
_space_group_name_H-M_alt 'P m -3 m'
_space_group_IT_number 221
_space_group_name_Hall '-P 4 2 3'
_cell_length_a 4.9215
_cell_length_b 4.9215
_cell_length_c 4.9215
_cell_angle_alpha 90.00
_cell_angle_beta 90.00
_cell_angle_gamma 90.00
loop_
_atom_site_label
_atom_site_fract_x
_atom_site_fract_y
_atom_site_fract_z
Ba1 0.0000 0.0000 0.0000
Mn1 0.5000 0.5000 0.5000
W1 0.0000 0.0000 0.5000
```

Values from the calculation:
Its formation enthalpy at 0 K is 4.26 eV/atom. For the calculated total energy, the calculation gives -5.732 eV/atom. Its energy above the most stable polymorph in this dataset is 2739.8 meV/atom.


# 2
Entry from Alexandria via LeMat-Bulk: an optimized crystal structure of BaMn2W (PBE).

Cell and atoms, written as CIF:
```
data_BaMn2W
_space_group_name_H-M_alt 'C m m m'
_space_group_IT_number 65
_space_group_name_Hall '-C 2 2'
_cell_length_a 6.3535
_cell_length_b 8.1391
_cell_length_c 3.0480
_cell_angle_alpha 90.00
_cell_angle_beta 90.00
_cell_angle_gamma 90.00
loop_
_atom_site_label
_atom_site_fract_x
_atom_site_fract_y
_atom_site_fract_z
Ba1 0.0000 0.0000 0.0000
Mn1 0.2500 0.2500 0.5000
W1 0.0000 0.5000 0.0000
```

Values from the calculation:
Its formation enthalpy at 0 K is 1.22 eV/atom. For the calculated total energy, the calculation gives -7.079 eV/atom. Its energy above the most stable polymorph in this dataset is 635.7 meV/atom.


# 3
Entry from Alexandria via LeMat-Bulk: an optimized crystal structure of Ba2MnW (PBE).

Cell and atoms, written as CIF:
```
data_Ba2MnW
_space_group_name_H-M_alt 'I m m 2'
_space_group_IT_number 44
_space_group_name_Hall 'I 2 -2'
_cell_length_a 3.7953
_cell_length_b 5.5402
_cell_length_c 12.0203
_cell_angle_alpha 90.00
_cell_angle_beta 90.00
_cell_angle_gamma 90.00
loop_
_atom_site_label
_atom_site_fract_x
_atom_site_fract_y
_atom_site_fract_z
Ba1 0.0000 0.0000 0.0000
Ba2 0.0000 0.5000 0.2150
Mn1 0.0000 0.5000 0.8018
W1 0.0000 0.0000 0.4135
```

Values from the calculation:
Its formation enthalpy at 0 K is 0.87 eV/atom. For the calculated total energy, the calculation gives -5.621 eV/atom. Its energy above the most stable polymorph in this dataset is 127.8 meV/atom.


# 4
Entry from Alexandria via LeMat-Bulk: an optimized crystal structure of BaMn2W (PBE).

Cell and atoms, written as CIF:
```
data_BaMn2W
_space_group_name_H-M_alt 'C 1 2/m 1'
_space_group_IT_number 12
_space_group_name_Hall '-C 2y'
_cell_length_a 8.1728
_cell_length_b 3.1931
_cell_length_c 6.9250
_cell_angle_alpha 90.00
_cell_angle_beta 97.78
_cell_angle_gamma 90.00
loop_
_atom_site_label
_atom_site_fract_x
_atom_site_fract_y
_atom_site_fract_z
Ba1 0.0000 0.0000 0.0000
Mn1 0.2260 0.0000 0.6383
W1 0.0000 0.5000 0.5000
```

Values from the calculation:
Its formation enthalpy at 0 K is 0.75 eV/atom. For the calculated total energy, the calculation gives -7.553 eV/atom. Its energy above the most stable polymorph in this dataset is 161.8 meV/atom.


# 5
Entry from Alexandria via LeMat-Bulk: an optimized crystal structure of BaMn2W (PBE).

Cell and atoms, written as CIF:
```
data_BaMn2W
_space_group_name_H-M_alt 'R -3 m'
_space_group_IT_number 166
_space_group_name_Hall '-R 3 2"'
_cell_length_a 3.1685
_cell_length_b 3.1685
_cell_length_c 28.6168
_cell_angle_alpha 90.00
_cell_angle_beta 90.00
_cell_angle_gamma 120.00
loop_
_atom_site_label
_atom_site_fract_x
_atom_site_fract_y
_atom_site_fract_z
Ba1 0.0000 0.0000 0.0000
Mn1 0.0000 0.0000 0.2302
W1 0.0000 0.0000 0.5000
```

Values from the calculation:
Its formation enthalpy at 0 K is 0.96 eV/atom. For the calculated total energy, the calculation gives -7.345 eV/atom. Its energy above the most stable polymorph in this dataset is 369.9 meV/atom.


# 6
Entry from Alexandria via LeMat-Bulk: an optimized crystal structure of BaMn2W (PBE).

Cell and atoms, written as CIF:
```
data_BaMn2W
_space_group_name_H-M_alt 'P m m m'
_space_group_IT_number 47
_space_group_name_Hall '-P 2 2'
_cell_length_a 3.1999
_cell_length_b 3.2107
_cell_length_c 8.0073
_cell_angle_alpha 90.00
_cell_angle_beta 90.00
_cell_angle_gamma 90.00
loop_
_atom_site_label
_atom_site_fract_x
_atom_site_fract_y
_atom_site_fract_z
Ba1 0.0000 0.0000 0.0000
Mn1 0.5000 0.5000 0.3366
W1 0.0000 0.0000 0.5000
```

Values from the calculation:
Its formation enthalpy at 0 K is 0.59 eV/atom. For the calculated total energy, the calculation gives -7.715 eV/atom. Its energy above the most stable polymorph in this dataset is 0.0 meV/atom.


# 7
Entry from Alexandria via LeMat-Bulk: an optimized crystal structure of BaMnW4 (PBE).

Cell and atoms, written as CIF:
```
data_BaMnW4
_space_group_name_H-M_alt 'F -4 3 m'
_space_group_IT_number 216
_space_group_name_Hall 'F -4 2 3'
_cell_length_a 7.8148
_cell_length_b 7.8148
_cell_length_c 7.8148
_cell_angle_alpha 90.00
_cell_angle_beta 90.00
_cell_angle_gamma 90.00
loop_
_atom_site_label
_atom_site_fract_x
_atom_site_fract_y
_atom_site_fract_z
Ba1 0.0000 0.0000 0.0000
Mn1 0.2500 0.2500 0.7500
W1 0.1248 0.1248 0.3752
```

Values from the calculation:
Its formation enthalpy at 0 K is 1.07 eV/atom. For the calculated total energy, the calculation gives -9.416 eV/atom.


# 8
Entry from Alexandria via LeMat-Bulk: an optimized crystal structure of BaMn2W (PBE).

Cell and atoms, written as CIF:
```
data_BaMn2W
_space_group_name_H-M_alt 'I m m 2'
_space_group_IT_number 44
_space_group_name_Hall 'I 2 -2'
_cell_length_a 3.4132
_cell_length_b 4.0120
_cell_length_c 13.7686
_cell_angle_alpha 90.00
_cell_angle_beta 90.00
_cell_angle_gamma 90.00
loop_
_atom_site_label
_atom_site_fract_x
_atom_site_fract_y
_atom_site_fract_z
Ba1 0.0000 0.0000 0.0000
Mn1 0.0000 0.0000 0.6477
Mn2 0.0000 0.5000 0.7682
W1 0.0000 0.5000 0.2674
```

Values from the calculation:
Its formation enthalpy at 0 K is 0.85 eV/atom. For the calculated total energy, the calculation gives -7.453 eV/atom. Its energy above the most stable polymorph in this dataset is 262.0 meV/atom.


# 9
Entry from Alexandria via LeMat-Bulk: an optimized crystal structure of Ba2MnW (PBE).

Cell and atoms, written as CIF:
```
data_Ba2MnW
_space_group_name_H-M_alt 'P m m m'
_space_group_IT_number 47
_space_group_name_Hall '-P 2 2'
_cell_length_a 3.8442
_cell_length_b 3.9612
_cell_length_c 8.3468
_cell_angle_alpha 90.00
_cell_angle_beta 90.00
_cell_angle_gamma 90.00
loop_
_atom_site_label
_atom_site_fract_x
_atom_site_fract_y
_atom_site_fract_z
Ba1 0.0000 0.0000 0.2413
Mn1 0.5000 0.5000 0.5000
W1 0.5000 0.5000 0.0000
```

Values from the calculation:
Its formation enthalpy at 0 K is 1.37 eV/atom. For the calculated total energy, the calculation gives -5.117 eV/atom. Its energy above the most stable polymorph in this dataset is 631.5 meV/atom.


# 10
Entry from Alexandria via LeMat-Bulk: an optimized crystal structure of Ba2MnW (PBE).

Cell and atoms, written as CIF:
```
data_Ba2MnW
_space_group_name_H-M_alt 'F m -3 m'
_space_group_IT_number 225
_space_group_name_Hall '-F 4 2 3'
_cell_length_a 7.5409
_cell_length_b 7.5409
_cell_length_c 7.5409
_cell_angle_alpha 90.00
_cell_angle_beta 90.00
_cell_angle_gamma 90.00
loop_
_atom_site_label
_atom_site_fract_x
_atom_site_fract_y
_atom_site_fract_z
Ba1 0.2500 0.2500 0.2500
Mn1 0.0000 0.0000 0.0000
W1 0.0000 0.0000 0.5000
```

Values from the calculation:
Its formation enthalpy at 0 K is 2.00 eV/atom. For the calculated total energy, the calculation gives -4.497 eV/atom. Its energy above the most stable polymorph in this dataset is 1252.4 meV/atom.


What did the tenth record say?
Entry from Alexandria via LeMat-Bulk: an optimized crystal structure of Ba2MnW (PBE).

Cell and atoms, written as CIF:
```
data_Ba2MnW
_space_group_name_H-M_alt 'F m -3 m'
_space_group_IT_number 225
_space_group_name_Hall '-F 4 2 3'
_cell_length_a 7.5409
_cell_length_b 7.5409
_cell_length_c 7.5409
_cell_angle_alpha 90.00
_cell_angle_beta 90.00
_cell_angle_gamma 90.00
loop_
_atom_site_label
_atom_site_fract_x
_atom_site_fract_y
_atom_site_fract_z
Ba1 0.2500 0.2500 0.2500
Mn1 0.0000 0.0000 0.0000
W1 0.0000 0.0000 0.5000
```

Values from the calculation:
Its formation enthalpy at 0 K is 2.00 eV/atom. For the calculated total energy, the calculation gives -4.497 eV/atom. Its energy above the most stable polymorph in this dataset is 1252.4 meV/atom.